No. 1
Compound: SrTcGe
Source: OQMD
Functional: PBE
Structure: relaxed

Summary:
As for the offset from the most stable computed form: 895 meV/atom. The mass density is 4.93 Mg/m³. The symmetry is F-43m (216).

Cell: 4.9742 4.9742 4.9742 Å, 60.00 60.00 60.00°
Closest atoms and distances in Å follow each position.
Positions (direct):
1 Sr 0.0000 0.0000 0.0000  4 Ge 3.05, 4 Tc 3.05
2 Tc 0.2500 0.2500 0.2500  4 Sr 3.05
3 Ge 0.7500 0.7500 0.7500  4 Sr 3.05



No. 2
Compound: SrTcGe2
Source: OQMD
Functional: PBE
Structure: relaxed

Summary:
The mass density is 6.90 Mg/m³. The calculation puts the electronic total energy at -4.78 eV per atom. The symmetry is F-43m (216).

Cell: 4.8289 4.8289 4.8289 Å, 60.00 60.00 60.00°
Closest atoms and distances in Å follow each position.
Positions (direct):
1 Sr 0.0000 0.0000 0.0000  4 Ge 2.96, 4 Tc 2.96
2 Tc 0.7500 0.7500 0.7500  4 Ge 2.96, 4 Sr 2.96
3 Ge 0.2500 0.2500 0.2500  4 Ge 2.96, 4 Sr 2.96
4 Ge 0.5000 0.5000 0.5000  4 Ge 2.96, 4 Tc 2.96



No. 3
Compound: SrThGe
Source: OQMD
Functional: PBE
Structure: relaxed

Summary:
The mass density is 6.76 Mg/m³. The calculation puts the electronic total energy at -4.71 eV per atom. The symmetry is F-43m (216).

Cell: 5.1449 5.1449 5.1449 Å, 60.00 60.00 60.00°
Closest atoms and distances in Å follow each position.
Positions (direct):
1 Sr 0.0000 0.0000 0.0000  4 Ge 3.15
2 Th 0.5000 0.5000 0.5000  4 Ge 3.15
3 Ge 0.2500 0.2500 0.2500  4 Th 3.15, 4 Sr 3.15



No. 4
Compound: SrGeW
Source: OQMD
Functional: PBE
Structure: relaxed

Summary:
As for the offset from the most stable computed form: 0 meV/atom. The mass density is 7.77 Mg/m³. The symmetry is F-43m (216).

Cell: 4.7031 4.7031 4.7031 Å, 60.00 60.00 60.00°
Closest atoms and distances in Å follow each position.
Positions (direct):
1 Sr 0.0000 0.0000 0.0000  4 Ge 2.88
2 Ge 0.2500 0.2500 0.2500  4 W 2.88, 4 Sr 2.88
3 W 0.5000 0.5000 0.5000  4 Ge 2.88



No. 5
Compound: SrGeW
Source: OQMD
Functional: PBE
Structure: relaxed

Summary:
As for the offset from the most stable computed form: 893 meV/atom. The mass density is 6.39 Mg/m³. The symmetry is F-43m (216).

Cell: 5.0203 5.0203 5.0203 Å, 60.00 60.00 60.00°
Closest atoms and distances in Å follow each position.
Positions (direct):
1 Sr 0.0000 0.0000 0.0000  4 Ge 3.07, 4 W 3.07
2 Ge 0.7500 0.7500 0.7500  4 Sr 3.07
3 W 0.2500 0.2500 0.2500  4 Sr 3.07



No. 6
Compound: SrZn2Ge2
Source: OQMD
Functional: PBE
Structure: relaxed

Summary:
The mass density is 5.73 Mg/m³. The calculation puts the electronic total energy at -3.06 eV per atom. The symmetry is I4/mmm (139).

Cell: 6.1968 6.1968 6.1968 Å, 137.99 137.99 60.91°
Closest atoms and distances in Å follow each position.
Positions (direct):
1 Sr 0.0000 0.0000 0.0000  8 Ge 3.39, 8 Zn 3.47
2 Zn 0.2500 0.7500 0.5000  4 Ge 2.62
3 Zn 0.7500 0.2500 0.5000  4 Ge 2.62
4 Ge 0.3798 0.3798 0.0000  1 Ge 2.57, 4 Zn 2.62
5 Ge 0.6202 0.6202 0.0000  1 Ge 2.57, 4 Zn 2.62



No. 7
Compound: SrZn2Ge2
Source: OQMD
Functional: PBE
Structure: relaxed

Summary:
The mass density is 5.79 Mg/m³. The calculation puts the electronic total energy at -3.07 eV per atom. The symmetry is P4/nmm (129).

Cell: 4.3970 4.3970 10.7879 Å, 90.00 90.00 90.00°
Closest atoms and distances in Å follow each position.
Positions (direct):
1 Sr 0.2500 0.2500 0.2487  8 Ge 3.35-3.49, 8 Zn 3.36-3.47
2 Sr 0.7500 0.7500 0.7513  8 Ge 3.35-3.49, 8 Zn 3.36-3.47
3 Zn 0.2500 0.2500 0.6337  5 Ge 2.51-2.63
4 Zn 0.2500 0.7500 0.0000  4 Ge 2.63
5 Zn 0.7500 0.2500 0.0000  4 Ge 2.63
6 Zn 0.7500 0.7500 0.3663  5 Ge 2.51-2.63
7 Ge 0.2500 0.2500 0.8663  5 Zn 2.51-2.63
8 Ge 0.2500 0.7500 0.5000  4 Zn 2.63
9 Ge 0.7500 0.2500 0.5000  4 Zn 2.63
10 Ge 0.7500 0.7500 0.1337  5 Zn 2.51-2.63



No. 8
Compound: Sr2ZnGe
Source: OQMD
Functional: PBE
Structure: relaxed

Summary:
The mass density is 4.55 Mg/m³. The calculation puts the electronic total energy at -2.28 eV per atom. The symmetry is F-43m (216).

Cell: 5.4496 5.4496 5.4496 Å, 60.00 60.00 60.00°
Closest atoms and distances in Å follow each position.
Positions (direct):
1 Sr 0.0000 0.0000 0.0000  4 Ge 3.34, 4 Sr 3.34
2 Sr 0.2500 0.2500 0.2500  4 Zn 3.34, 4 Sr 3.34
3 Zn 0.5000 0.5000 0.5000  4 Sr 3.34, 4 Ge 3.34
4 Ge 0.7500 0.7500 0.7500  4 Zn 3.34, 4 Sr 3.34



No. 9
Compound: SrZn4Ge3
Source: OQMD
Functional: PBE
Structure: relaxed

Summary:
The mass density is 5.89 Mg/m³. The calculation puts the electronic total energy at -2.79 eV per atom. The symmetry is P4/mmm (123).

Cell: 4.4934 4.4934 7.9153 Å, 90.00 90.00 90.00°
Closest atoms and distances in Å follow each position.
Positions (direct):
1 Sr 0.0000 0.0000 0.0000  8 Zn 3.41, 8 Ge 3.42
2 Zn 0.0000 0.5000 0.3239  4 Ge 2.60-2.64, 1 Zn 2.79
3 Zn 0.0000 0.5000 0.6761  4 Ge 2.60-2.64, 1 Zn 2.79
4 Zn 0.5000 0.0000 0.3239  4 Ge 2.60-2.64, 1 Zn 2.79
5 Zn 0.5000 0.0000 0.6761  4 Ge 2.60-2.64, 1 Zn 2.79
6 Ge 0.0000 0.0000 0.5000  8 Zn 2.64
7 Ge 0.5000 0.5000 0.1595  1 Ge 2.52, 4 Zn 2.60
8 Ge 0.5000 0.5000 0.8405  1 Ge 2.52, 4 Zn 2.60



No. 10
Compound: SrZnGe2
Source: OQMD
Functional: PBE
Structure: relaxed

Summary:
The mass density is 5.38 Mg/m³. The calculation puts the electronic total energy at -3.09 eV per atom. The symmetry is F-43m (216).

Cell: 5.0685 5.0685 5.0685 Å, 60.00 60.00 60.00°
Closest atoms and distances in Å follow each position.
Positions (direct):
1 Sr 0.0000 0.0000 0.0000  4 Ge 3.10, 4 Zn 3.10
2 Zn 0.2500 0.2500 0.2500  4 Ge 3.10, 4 Sr 3.10
3 Ge 0.5000 0.5000 0.5000  4 Ge 3.10, 4 Zn 3.10
4 Ge 0.7500 0.7500 0.7500  4 Ge 3.10, 4 Sr 3.10



No. 11
Compound: Sr2ZrGe2
Source: OQMD
Functional: PBE
Structure: relaxed

Summary:
The mass density is 4.59 Mg/m³. The calculation puts the electronic total energy at -4.55 eV per atom. The symmetry is Pbam (55).

Cell: 7.2975 10.7822 3.7903 Å, 90.00 90.00 90.00°
Closest atoms and distances in Å follow each position.
Positions (direct):
1 Sr 0.0740 0.1660 0.0000  4 Ge 3.23-3.45, 1 Zr 3.59
2 Sr 0.4260 0.6660 0.0000  4 Ge 3.23-3.45, 1 Zr 3.59
3 Sr 0.5740 0.3340 0.0000  4 Ge 3.23-3.45, 1 Zr 3.59
4 Sr 0.9260 0.8340 0.0000  4 Ge 3.23-3.45, 1 Zr 3.59
5 Zr 0.0000 0.5000 0.0000  4 Ge 2.73
6 Zr 0.5000 0.0000 0.0000  4 Ge 2.73
7 Ge 0.2339 0.4107 0.5000  2 Zr 2.73
8 Ge 0.2661 0.9107 0.5000  2 Zr 2.73
9 Ge 0.7339 0.0893 0.5000  2 Zr 2.73
10 Ge 0.7661 0.5893 0.5000  2 Zr 2.73



No. 12
Compound: SrZrGe
Source: OQMD
Functional: PBE
Structure: relaxed

Summary:
The mass density is 4.52 Mg/m³. The calculation puts the electronic total energy at -3.96 eV per atom. The symmetry is F-43m (216).

Cell: 5.0728 5.0728 5.0728 Å, 60.00 60.00 60.00°
Closest atoms and distances in Å follow each position.
Positions (direct):
1 Sr 0.0000 0.0000 0.0000  4 Ge 3.11, 4 Zr 3.11
2 Zr 0.2500 0.2500 0.2500  4 Sr 3.11
3 Ge 0.7500 0.7500 0.7500  4 Sr 3.11



No. 13
Compound: SrZrGe
Source: OQMD
Functional: PBE
Structure: relaxed

Summary:
The mass density is 4.92 Mg/m³. The calculation puts the electronic total energy at -4.94 eV per atom. The symmetry is F-43m (216).

Cell: 4.9340 4.9340 4.9340 Å, 60.00 60.00 60.00°
Closest atoms and distances in Å follow each position.
Positions (direct):
1 Sr 0.0000 0.0000 0.0000  4 Ge 3.02
2 Zr 0.5000 0.5000 0.5000  4 Ge 3.02
3 Ge 0.2500 0.2500 0.2500  4 Zr 3.02, 4 Sr 3.02



No. 14
Compound: TaGe
Source: OQMD
Functional: PBE
Structure: relaxed

Summary:
The mass density is 12.38 Mg/m³. The calculation puts the electronic total energy at -8.37 eV per atom. The symmetry is P-6m2 (187).

Cell: 3.0848 3.0848 4.1287 Å, 90.00 90.00 120.00°
Closest atoms and distances in Å follow each position.
Positions (direct):
1 Ta 0.0000 0.0000 0.0000  6 Ge 2.73
2 Ge 0.3333 0.6667 0.5000  6 Ta 2.73



No. 15
Compound: Ta2Ge
Source: OQMD
Functional: PBE
Structure: relaxed

Summary:
The mass density is 12.55 Mg/m³. The calculation puts the electronic total energy at -8.92 eV per atom. The symmetry is Fd-3m (227).

Cell: 5.4586 5.4586 5.4586 Å, 60.00 60.00 60.00°
Closest atoms and distances in Å follow each position.
Positions (direct):
1 Ta 0.0000 0.0000 0.0000  6 Ta 2.73
2 Ta 0.0000 0.0000 0.5000  6 Ta 2.73
3 Ta 0.0000 0.5000 0.0000  6 Ta 2.73
4 Ta 0.5000 0.0000 0.0000  6 Ta 2.73
5 Ge 0.3750 0.3750 0.3750  12 Ta 3.20, 4 Ge 3.34
6 Ge 0.6250 0.6250 0.6250  12 Ta 3.20, 4 Ge 3.34